Entry 1:
This record from Alexandria describes a relaxed La2SmIO8 crystal. The functional is PBE-GGA.

Geometry as extended XYZ:
```
12
Lattice="5.253 0.000 0.000 0.000 7.082 0.000 -0.114 0.000 5.257" Properties=species:S:1:pos:R:3 pbc="T T T"
La 0.000 1.747 0.000
La 0.000 5.334 0.000
Sm 2.570 3.541 2.629
I 2.570 0.000 2.629
O 0.979 3.541 1.014
O 1.240 0.000 1.286
O 1.647 1.430 3.543
O 1.647 5.651 3.543
O 3.492 1.430 1.714
O 3.492 5.651 1.714
O 3.899 0.000 3.972
O 4.161 3.541 4.244
```

Computed properties:
- ρ: 5.8 Mg/m³
- Calculated volume: 195.6 Å³ per cell
- DOS(E_F): 0.00 states/eV/f.u.
- Calculated total energy: -83.17 eV for the cell shown
- Formation energy from raw total energies: -2.28 eV per atom

Entry 2:
This record from Alexandria describes a relaxed LaSnIO2 crystal. The functional is PBE-GGA.

Geometry as extended XYZ:
```
5
Lattice="4.586 0.000 0.000 0.000 4.586 0.000 0.000 0.000 6.481" Properties=species:S:1:pos:R:3 pbc="T T T"
La 0.000 0.000 0.000
Sn 2.293 2.293 3.241
I 0.000 0.000 3.241
O 0.000 2.293 0.000
O 2.293 0.000 0.000
```

Computed properties:
- ΔE to the lowest computed polymorph: 0.00 kcal/mol of atoms
- ρ: 5.1 Mg/m³
- Calculated volume: 136.3 Å³ per cell
- DOS(E_F): 4.42 states/eV/f.u.
- Calculated total energy: -26.52 eV for the cell shown
- Formation energy from raw total energies: -1.23 eV per atom

Entry 3:
This record from Alexandria describes a relaxed LaSnIO2 crystal. The functional is PBE-GGA.

Geometry as extended XYZ:
```
5
Lattice="4.392 0.000 0.000 0.000 4.392 0.000 0.000 0.000 5.874" Properties=species:S:1:pos:R:3 pbc="T T T"
La 0.000 0.000 0.000
Sn 2.196 2.196 2.937
I 2.196 2.196 0.000
O 0.000 2.196 2.937
O 2.196 0.000 2.937
```

Computed properties:
- ΔE to the lowest computed polymorph: 8.46 kcal/mol of atoms
- ρ: 6.1 Mg/m³
- Calculated volume: 113.3 Å³ per cell
- DOS(E_F): 2.95 states/eV/f.u.
- Calculated total energy: -24.69 eV for the cell shown
- Formation energy from raw total energies: -0.86 eV per atom

Entry 4:
This record from Alexandria describes a relaxed SrLa2IO8 crystal. The functional is PBE-GGA.

Geometry as extended XYZ:
```
12
Lattice="4.928 0.000 0.000 -0.196 5.222 0.000 -0.124 -0.158 7.548" Properties=species:S:1:pos:R:3 pbc="T T T"
Sr 0.000 0.000 0.000
La 2.133 2.374 5.542
La 2.475 2.690 2.006
I -0.062 -0.079 3.774
O 0.391 3.973 2.379
O 0.584 4.198 5.203
O 1.418 1.095 3.579
O 1.976 1.465 0.044
O 2.632 3.599 7.504
O 3.190 3.969 3.970
O 4.024 0.866 2.345
O 4.217 1.092 5.169
```

Computed properties:
- ρ: 5.3 Mg/m³
- Calculated volume: 194.2 Å³ per cell
- DOS(E_F): 5.50 states/eV/f.u.
- Calculated total energy: -76.86 eV for the cell shown
- Formation energy from raw total energies: -2.01 eV per atom

Entry 5:
This record from Alexandria describes a relaxed SrLaIO6 crystal. The functional is PBE-GGA.

Geometry as extended XYZ:
```
18
Lattice="5.904 0.000 0.000 -2.952 5.113 0.000 0.000 0.000 9.798" Properties=species:S:1:pos:R:3 pbc="T T T"
Sr 0.000 0.000 0.000
Sr 0.000 0.000 4.899
La 0.000 3.409 2.450
La 2.952 1.704 7.349
I 0.000 3.409 7.349
I 2.952 1.704 2.450
O -0.800 2.048 6.273
O -1.579 3.397 8.424
O 0.800 2.048 8.424
O -0.779 4.782 6.273
O 2.173 0.331 1.374
O 1.373 1.716 3.525
O 1.579 3.397 6.273
O 0.779 4.782 8.424
O 3.731 0.331 3.525
O 2.152 3.066 1.374
O 4.531 1.716 1.374
O 3.752 3.066 3.525
```

Computed properties:
- ρ: 5.0 Mg/m³
- Calculated volume: 295.8 Å³ per cell
- DOS(E_F): 0.00 states/eV/f.u.
- Calculated total energy: -109.47 eV for the cell shown
- Formation energy from raw total energies: -1.87 eV per atom

Entry 6:
This record from Alexandria describes a relaxed LaTaIO4 crystal. The functional is PBE-GGA.

Geometry as extended XYZ:
```
14
Lattice="6.734 -3.302 0.000 6.734 3.302 0.000 -2.042 0.000 6.785" Properties=species:S:1:pos:R:3 pbc="T T T"
La 2.140 0.000 2.083
La 9.285 0.000 4.703
Ta 0.059 0.000 4.724
Ta 11.366 0.000 2.062
I 4.533 0.000 5.447
I 6.893 0.000 1.338
O -0.218 0.000 2.371
O 3.563 1.821 2.568
O 0.144 0.000 6.581
O 7.862 1.821 4.218
O 3.563 -1.821 2.568
O 11.281 0.000 0.204
O 7.862 -1.821 4.218
O 11.644 0.000 4.414
```

Computed properties:
- ρ: 5.6 Mg/m³
- Calculated volume: 301.8 Å³ per cell
- Calculated total energy: -113.17 eV for the cell shown
- Formation energy from raw total energies: -2.63 eV per atom